No. 1
# Ba2CdAu2

Ba2CdAu2 after structural relaxation (PBEsol, the Alexandria database).

Output
Energy of formation in eV per atom: -0.3326
Calculated density in g cm⁻³: 8.5
VASP energy in eV for the cell shown: -15.006
Total moment in μB/atom: 0.0001

Cell lengths 10.151, 10.151, 10.151 Å; angles 157.57, 157.57, 31.92 degrees
Fractional coordinates of all 5 atoms:
1 Ba 0.114 0.114 0.000
2 Ba 0.886 0.886 0.000
3 Cd 0.500 0.500 0.000
4 Au 0.250 0.750 0.500
5 Au 0.750 0.250 0.500


No. 2
# BaCdAuO2

BaCdAuO2 after structural relaxation (PBEsol, the Alexandria database).

Output
Calculated density in g cm⁻³: 4.7
VASP energy in eV for the cell shown: -17.595
Total moment in μB/atom: 0.0181

Cell lengths 4.310, 4.310, 9.082 Å; angles 90.00, 90.00, 90.00 degrees
Fractional coordinates of all 5 atoms:
1 Ba 0.000 0.000 0.000
2 Cd 0.000 0.000 0.500
3 Au 0.500 0.500 0.500
4 O 0.000 0.500 0.000
5 O 0.500 0.000 0.000


No. 3
# CsBaAuCl2

CsBaAuCl2 after structural relaxation (PBEsol, the Alexandria database).

Output
Calculated density in g cm⁻³: 4.1
VASP energy in eV for the cell shown: -18.304
Total moment in μB/atom: 0.0000

Cell lengths 5.911, 5.911, 6.200 Å; angles 90.00, 90.00, 90.00 degrees
Fractional coordinates of all 5 atoms:
1 Cs 0.000 0.000 0.000
2 Ba 0.500 0.500 0.500
3 Au 0.500 0.500 0.000
4 Cl 0.000 0.500 0.500
5 Cl 0.500 0.000 0.500


No. 4
# BaAuS2Cl

BaAuS2Cl after structural relaxation (PBEsol, the Alexandria database).

Output
Calculated density in g cm⁻³: 6.1
VASP energy in eV for the cell shown: -21.368
Total moment in μB/atom: 0.0000
ΔE to the lowest computed polymorph in meV per atom: 0

Cell lengths 4.866, 4.866, 5.014 Å; angles 90.00, 90.00, 90.00 degrees
Fractional coordinates of all 5 atoms:
1 Ba 0.000 0.000 0.000
2 Au 0.500 0.500 0.500
3 S 0.000 0.500 0.500
4 S 0.500 0.000 0.500
5 Cl 0.500 0.500 0.000


No. 5
# BaAuS2Cl

BaAuS2Cl after structural relaxation (PBEsol, the Alexandria database).

Output
Calculated density in g cm⁻³: 3.6
VASP energy in eV for the cell shown: -14.646
Total moment in μB/atom: 0.4068
ΔE to the lowest computed polymorph in meV per atom: 1344

Cell lengths 5.901, 5.901, 5.712 Å; angles 90.00, 90.00, 90.00 degrees
Fractional coordinates of all 5 atoms:
1 Ba 0.000 0.000 0.000
2 Au 0.500 0.500 0.500
3 S 0.000 0.500 0.000
4 S 0.500 0.000 0.000
5 Cl 0.000 0.000 0.500


No. 6
# BaAuSe2Cl

BaAuSe2Cl after structural relaxation (PBEsol, the Alexandria database).

Output
Calculated density in g cm⁻³: 6.1
VASP energy in eV for the cell shown: -16.019
Total moment in μB/atom: 0.0008

Cell lengths 5.027, 5.027, 5.722 Å; angles 90.00, 90.00, 90.00 degrees
Fractional coordinates of all 5 atoms:
1 Ba 0.000 0.000 0.000
2 Au 0.500 0.500 0.000
3 Se 0.000 0.500 0.500
4 Se 0.500 0.000 0.500
5 Cl 0.000 0.000 0.500


No. 7
# BaCo2Au

BaCo2Au after structural relaxation (PBEsol, the Alexandria database).

Output
Energy of formation in eV per atom: 0.7592
Calculated density in g cm⁻³: 10.6
VASP energy in eV for the cell shown: -18.510
Total moment in μB/atom: 0.5672

Cell lengths 4.656, 4.656, 4.656 Å; angles 120.20, 120.20, 89.65 degrees
Fractional coordinates of all 4 atoms:
1 Ba 0.000 0.000 0.000
2 Co 0.250 0.750 0.500
3 Co 0.750 0.250 0.500
4 Au 0.500 0.500 0.000


No. 8
# Ba3CoAu

Ba3CoAu after structural relaxation (PBEsol, the Alexandria database).

Output
Energy of formation in eV per atom: 0.1599
Calculated density in g cm⁻³: 6.4
VASP energy in eV for the cell shown: -17.309
Total moment in μB/atom: 0.0002

Cell lengths 5.568, 5.568, 5.568 Å; angles 90.00, 90.00, 90.00 degrees
Fractional coordinates of all 5 atoms:
1 Ba 0.000 0.000 0.500
2 Ba 0.000 0.500 0.000
3 Ba 0.500 0.000 0.000
4 Co 0.000 0.000 0.000
5 Au 0.500 0.500 0.500